[1]
VASP calculation (GGA-PBE) on crystalline Cs2MgVTe4 at its relaxed geometry.

Lattice parameters (Å, degrees): 6.5791 15.3807 27.4824 90.00 90.00 90.00
With the nearest neighbours (Å) after each atom.
Space group Fddd (No. 70, origin choice 2)
Inequivalent atoms, fractional coordinates:
Cs: 0.1250 0.1250 0.3050 x16  8 Te 3.93-4.20
Mg: 0.1250 0.1250 0.1250 x8  4 Te 2.79
V: 0.1250 0.1250 0.6250 x8  4 Te 2.59
Te: 0.1000 0.2776 0.8204 x32  1 V 2.59, 1 Mg 2.79

The calculation puts the magnetization at 8.00 μB per cell. As for the total energy: -248.7 eV per cell. As for the crystal system: orthorhombic.

***

[2]
VASP calculation (GGA-PBE) on crystalline CsY2MgTe4 at its relaxed geometry.

Lattice parameters (Å, degrees): 4.5137 15.7899 15.9035 90.00 90.00 90.00
With the nearest neighbours (Å) after each atom.
Space group Cmcm (No. 63)
Inequivalent atoms, fractional coordinates:
Cs: 0.0000 0.1163 0.2500 x4  6 Te 3.68-3.82, 2 Mg 4.08
Y: 0.0000 0.3766 0.0537 x8  6 Te 3.10-3.24
Mg: 0.0000 0.1683 0.7500 x4  4 Te 2.74-2.76
Te: 0.0000 0.0000 0.0000 x4  4 Y 3.10
Te: 0.0000 0.2577 0.6025 x8  1 Mg 2.74
Te: 0.0000 0.4324 0.2500 x4  2 Mg 2.76

The calculation puts the magnetization at 0.00 μB per cell. As for the total energy: -149.8 eV per cell. As for the crystal system: orthorhombic.

***

Copy entry 1 word for word.
VASP calculation (GGA-PBE) on crystalline Cs2MgVTe4 at its relaxed geometry.

Lattice parameters (Å, degrees): 6.5791 15.3807 27.4824 90.00 90.00 90.00
With the nearest neighbours (Å) after each atom.
Space group Fddd (No. 70, origin choice 2)
Inequivalent atoms, fractional coordinates:
Cs: 0.1250 0.1250 0.3050 x16  8 Te 3.93-4.20
Mg: 0.1250 0.1250 0.1250 x8  4 Te 2.79
V: 0.1250 0.1250 0.6250 x8  4 Te 2.59
Te: 0.1000 0.2776 0.8204 x32  1 V 2.59, 1 Mg 2.79

The calculation puts the magnetization at 8.00 μB per cell. As for the total energy: -248.7 eV per cell. As for the crystal system: orthorhombic.